TcBiSbTe2 | SCAN | PBEsol geometry

N(E_F) (states/eV/f.u.): 4.3
Energy relative to the elements, uncorrected (meV/atom): 474

abc: 5.157 5.157 5.132
angles: 90.00 90.00 90.00
Space group P4/mmm (No. 123)
One atom of each set of equivalent atoms:
Tc1 0.000 0.000 0.000 x1
Bi1 0.500 0.500 0.500 x1
Sb1 0.000 0.000 0.500 x1
Te1 0.000 0.500 0.000 x2